Material: Li2ZrTiS4
Method: DFT, PBE-GGA
State: relaxed

Output
E_form (uncorrected) ... -1.463 eV/atom
Total DFT energy (no corrections) ... -6.0608 eV per atom
Space-group type ... No. 10
Fermi-level density of states ... 3.69 states/eV/cell

POSCAR file:
```
Li2ZrTiS4
1.0
3.551 0.000 0.000
0.000 6.127 0.100
0.000 -2.155 6.199
Li Zr Ti S
2 1 1 4
Direct
0.500 0.000 0.500 Li
0.000 0.500 0.500 Li
0.000 0.000 0.000 Zr
0.500 0.500 0.000 Ti
0.500 0.259 0.248 S
0.500 0.741 0.752 S
0.000 0.263 0.760 S
0.000 0.737 0.240 S
```